Density functional theory data (PBE) for a relaxed Ac2TbGa3Pd4 crystal.

Cell and atoms, written as extended XYZ:
```
10
Lattice="4.4229 0.0000 0.0000 0.0000 4.4229 0.0000 0.0000 0.0000 11.3895" Properties=species:S:1:pos:R:3 pbc="T T T"
Ac 0.0000 2.2115 2.6215
Ac 2.2115 0.0000 8.7680
Tb 0.0000 0.0000 5.6947
Ga 0.0000 2.2115 10.0699
Ga 2.2115 0.0000 1.3196
Ga 2.2115 2.2115 5.6947
Pd 0.0000 0.0000 0.0000
Pd 0.0000 2.2115 7.4758
Pd 2.2115 0.0000 3.9137
Pd 2.2115 2.2115 0.0000
```

SG   P-4m2 (115)
DOS(E_F)   6.248 states/eV per cell
ΔE_f   -808 meV per atom



Density functional theory data (PBE) for a relaxed Ac2TbGa2Pd7 crystal.

Cell and atoms, written as extended XYZ:
```
12
Lattice="3.0009 -2.9742 0.0000 3.0009 2.9742 0.0000 -1.9155 0.0000 14.0535" Properties=species:S:1:pos:R:3 pbc="T T T"
Ac -0.0686 0.0000 4.9733
Ac 4.1550 0.0000 9.0802
Tb 0.0000 0.0000 0.0000
Ga 1.1023 0.0000 10.6346
Ga 2.9841 0.0000 3.4189
Pd 1.4933 1.4902 2.0551
Pd 1.1933 0.0000 8.0939
Pd 2.5931 1.4902 11.9985
Pd 3.0009 0.0000 0.0000
Pd 1.4933 -1.4902 2.0551
Pd 2.8931 0.0000 5.9596
Pd 2.5931 -1.4902 11.9985
```

SG   C2/m (12)
DOS(E_F)   3.450 states/eV per cell
ΔE_f   -828 meV per atom